(1)
NaNb2Cl2, relaxed, DFT PBE-GGA; uncorrected energy = -4.992 eV/atom; uncorrected formation energy = 0.0383 eV/atom; density of states at the Fermi level = 0.577 states/eV/atom
1.0
-2.4804 2.4804 4.4935
2.4804 -2.4804 4.4935
2.4804 2.4804 -4.4935
Na Nb Cl
1 2 2
Cartesian
0.0000 0.0000 0.0000 Na
0.0000 0.0000 3.3968 Nb
0.0000 0.0000 5.5901 Nb
2.4804 0.0000 2.2467 Cl
0.0000 2.4804 2.2467 Cl



(2)
ZnCd2Se, relaxed, DFT PBE-GGA; uncorrected energy = -1.618 eV/atom; uncorrected formation energy = 0.0289 eV/atom; density of states at the Fermi level = 0.298 states/eV/atom
1.0
3.0862 -4.8115 0.0000
3.0862 4.8115 0.0000
-2.5334 0.0000 3.0441
Zn Cd Se
1 2 1
Cartesian
0.0000 0.0000 0.0000 Zn
1.5431 2.4058 0.0000 Cd
1.5431 -2.4058 0.0000 Cd
3.0862 0.0000 0.0000 Se



(3)
BaLi2P, relaxed, DFT PBE-GGA; formation energy = -56.87 kJ/mol of atoms; uncorrected energy = -3.379 eV/atom; density of states at the Fermi level = 0.316 states/eV/atom
1.0
2.1388 1.2348 5.7211
-2.1388 1.2348 5.7211
0.0000 -2.4697 5.7211
Ba Li P
1 2 1
Cartesian
0.0000 0.0000 0.0000 Ba
0.0000 0.0000 3.3130 Li
0.0000 0.0000 13.8503 Li
0.0000 0.0000 8.5817 P



(4)
LaMnAl2Si, relaxed, DFT PBE-GGA; uncorrected energy = -5.785 eV/atom; uncorrected formation energy = -0.3837 eV/atom; density of states at the Fermi level = 0.173 states/eV/atom
1.0
4.6019 0.0000 0.0000
0.0000 4.6019 0.0000
0.0000 0.0000 4.4532
La Mn Al Si
1 1 2 1
Cartesian
0.0000 0.0000 0.0000 La
2.3010 2.3010 2.2266 Mn
0.0000 2.3010 2.2266 Al
2.3010 0.0000 2.2266 Al
2.3010 2.3010 0.0000 Si



(5)
YPuSi4, relaxed, DFT PBE-GGA; uncorrected energy = -7.604 eV/atom; uncorrected formation energy = -0.5231 eV/atom; density of states at the Fermi level = 1.474 states/eV/atom
1.0
3.9345 0.0000 0.0000
0.0000 4.0118 0.0000
0.0000 0.0000 7.1126
Y Pu Si
1 1 4
Cartesian
0.0000 0.0000 0.0000 Y
0.0000 2.0059 3.5563 Pu
1.9673 0.0000 2.3855 Si
1.9673 0.0000 4.7271 Si
1.9673 2.0059 1.1810 Si
1.9673 2.0059 5.9316 Si



(6)
YHg2Rh, relaxed, DFT PBE-GGA; formation energy = -23.30 kJ/mol of atoms; uncorrected energy = -3.846 eV/atom; density of states at the Fermi level = 0.544 states/eV/atom
1.0
3.7675 0.0000 0.0000
0.0000 3.7675 0.0000
0.0000 0.0000 5.9723
Y Hg Rh
1 2 1
Cartesian
0.0000 0.0000 0.0000 Y
1.8837 1.8837 1.6085 Hg
1.8837 1.8837 4.3639 Hg
0.0000 0.0000 2.9862 Rh



(7)
OsPb2, relaxed, DFT PBE-GGA; formation energy = 60.22 kJ/mol of atoms; uncorrected energy = -5.591 eV/atom; density of states at the Fermi level = 0.486 states/eV/atom
1.0
6.8364 -1.6481 0.0000
6.8364 1.6481 0.0000
-0.7536 0.0000 3.2295
Os Pb
1 2
Cartesian
0.0000 0.0000 0.0000 Os
4.7499 0.0000 1.2137 Pb
8.1693 0.0000 2.0158 Pb



(8)
TiSiNi2H, relaxed, DFT PBE-GGA; uncorrected energy = -6.142 eV/atom; density of states at the Fermi level = 0.636 states/eV/atom
1.0
1.7723 -4.7068 0.0000
1.7723 4.7068 0.0000
0.0000 0.0000 6.5670
Ti Si Ni H
2 2 4 2
Cartesian
1.7723 4.1817 4.9253 Ti
1.7723 -4.1817 1.6418 Ti
1.7723 2.5684 1.6418 Si
1.7723 -2.5684 4.9253 Si
1.7723 1.5076 3.6559 Ni
1.7723 1.5076 6.1946 Ni
1.7723 -1.5076 0.3724 Ni
1.7723 -1.5076 2.9111 Ni
1.7723 0.0000 0.0000 H
1.7723 0.0000 3.2835 H



(9)
SrPb3Cl, relaxed, DFT PBE-GGA; uncorrected energy = -3.055 eV/atom; uncorrected formation energy = -0.1239 eV/atom; density of states at the Fermi level = 0.836 states/eV/atom
1.0
5.6488 0.0000 0.0000
0.0000 5.6488 0.0000
0.0000 0.0000 5.6488
Sr Pb Cl
1 3 1
Cartesian
0.0000 0.0000 0.0000 Sr
0.0000 2.8244 2.8244 Pb
2.8244 0.0000 2.8244 Pb
2.8244 2.8244 0.0000 Pb
2.8244 2.8244 2.8244 Cl



(10)
KCrHg2, relaxed, DFT PBE-GGA; formation energy = 23.49 kJ/mol of atoms; uncorrected energy = -2.588 eV/atom; density of states at the Fermi level = 0.510 states/eV/atom
1.0
4.2004 -2.4226 0.0000
4.2004 2.4226 0.0000
-2.7731 0.0000 6.2656
K Cr Hg
1 1 2
Cartesian
0.0000 0.0000 0.0000 K
0.0296 0.0000 3.4663 Cr
2.8291 0.0000 3.8720 Hg
5.6292 0.0000 2.6030 Hg



(11)
Tb2Nd6Zn, relaxed, DFT PBE-GGA; formation energy = 0.96 kJ/mol of atoms; uncorrected energy = -4.339 eV/atom; density of states at the Fermi level = 1.436 states/eV/atom
1.0
10.3055 0.0000 0.0000
0.0000 10.3493 0.0000
0.0000 0.0000 5.4799
Tb Nd Zn
4 12 2
Cartesian
2.1938 2.2775 0.0000 Tb
2.9589 7.4521 2.7400 Tb
7.3466 2.8971 2.7400 Tb
8.1116 8.0718 0.0000 Tb
0.3870 3.2257 2.7400 Nd
1.2793 9.1091 0.0000 Nd
1.9365 5.6418 0.0000 Nd
3.2162 0.4671 2.7400 Nd
3.8735 3.9345 2.7400 Nd
4.7657 8.4003 0.0000 Nd
5.5398 1.9489 0.0000 Nd
6.4320 6.4148 2.7400 Nd
7.0893 9.8821 2.7400 Nd
8.3689 4.7075 0.0000 Nd
9.0262 1.2401 0.0000 Nd
9.9184 7.1235 2.7400 Nd
0.0000 0.0000 2.7400 Zn
5.1527 5.1746 0.0000 Zn



(12)
Hg2MoAs, relaxed, DFT PBE-GGA; formation energy = 56.79 kJ/mol of atoms; uncorrected energy = -3.432 eV/atom; density of states at the Fermi level = 0.583 states/eV/atom
1.0
-1.9771 1.9771 5.0222
1.9771 -1.9771 5.0222
1.9771 1.9771 -5.0222
Hg Mo As
2 1 1
Cartesian
1.9771 0.0000 2.5111 Hg
0.0000 1.9771 2.5111 Hg
0.0000 0.0000 0.0000 Mo
0.0000 0.0000 5.0222 As



(13)
Rb2PPtI6, relaxed, DFT PBE-GGA; uncorrected energy = -2.816 eV/atom; uncorrected formation energy = -0.5475 eV/atom; density of states at the Fermi level = 0.267 states/eV/atom
1.0
-4.0230 4.0230 5.6516
4.0230 -4.0230 5.6516
4.0230 4.0230 -5.6516
Rb P Pt I
2 1 1 6
Cartesian
4.0230 0.0000 2.8258 Rb
0.0000 4.0230 2.8258 Rb
0.0000 0.0000 0.0000 P
0.0000 0.0000 5.6516 Pt
0.0000 0.0000 2.8525 I
2.0318 2.0318 0.0000 I
1.9912 -1.9912 5.6516 I
-1.9912 1.9912 5.6516 I
1.9912 1.9912 5.6516 I
0.0000 0.0000 8.4507 I



(14)
Tb3NiPt2, relaxed, DFT PBE-GGA; formation energy = -93.68 kJ/mol of atoms; uncorrected energy = -6.263 eV/atom; density of states at the Fermi level = 0.453 states/eV/atom
1.0
11.4470 0.0000 0.0000
0.0000 4.0764 0.0000
0.0000 0.0000 11.5050
Tb Ni Pt
12 4 8
Cartesian
0.5794 1.0191 1.4278 Tb
1.3998 3.0573 6.4103 Tb
2.4884 1.0191 9.2728 Tb
3.2351 3.0573 3.5203 Tb
4.3238 1.0191 0.6578 Tb
5.1441 3.0573 7.1804 Tb
6.3029 1.0191 4.3247 Tb
7.1233 3.0573 10.8473 Tb
8.2119 1.0191 7.9848 Tb
8.9586 3.0573 2.2323 Tb
10.0473 1.0191 5.0947 Tb
10.8676 3.0573 10.0772 Tb
1.4094 1.0191 4.2892 Ni
4.3141 3.0573 10.0417 Ni
7.1329 1.0191 1.4633 Ni
10.0376 3.0573 7.2158 Ni
0.0758 3.0573 3.5495 Pt
2.1045 3.0573 11.4334 Pt
3.6190 1.0191 5.6809 Pt
5.6477 1.0191 9.3021 Pt
5.7993 3.0573 2.2030 Pt
7.8281 3.0573 5.8242 Pt
9.3425 1.0191 0.0717 Pt
11.3712 1.0191 7.9555 Pt



(15)
Pr3CuPt, relaxed, DFT PBE-GGA; formation energy = -49.26 kJ/mol of atoms; uncorrected energy = -5.406 eV/atom; density of states at the Fermi level = 0.984 states/eV/atom
1.0
8.4867 0.0000 0.0000
0.0000 4.0154 0.0000
-3.2559 0.0000 7.9529
Pr Cu Pt
6 2 2
Cartesian
-0.2759 1.0039 1.4223 Pr
0.0222 3.0116 4.5359 Pr
2.9668 3.0116 1.0351 Pr
2.2640 1.0039 6.9178 Pr
5.2086 1.0039 3.4171 Pr
5.5067 3.0116 6.5306 Pr
2.1420 1.0039 3.4465 Cu
3.0888 3.0116 4.5064 Cu
-0.7623 1.0039 6.7366 Pt
5.9932 3.0116 1.2164 Pt



(16)
SrScO2F, relaxed, DFT PBE-GGA; uncorrected energy = -5.552 eV/atom; uncorrected formation energy = -1.5920 eV/atom; density of states at the Fermi level = 0.804 states/eV/atom
1.0
4.6080 0.0000 0.0000
0.0000 4.6080 0.0000
0.0000 0.0000 4.3327
Sr Sc O F
1 1 2 1
Cartesian
0.0000 0.0000 0.0000 Sr
2.3040 2.3040 2.1664 Sc
0.0000 2.3040 0.0000 O
2.3040 0.0000 0.0000 O
0.0000 0.0000 2.1664 F



(17)
ZrTe2PdN, relaxed, DFT PBE-GGA; uncorrected energy = -5.403 eV/atom; uncorrected formation energy = 0.2670 eV/atom; density of states at the Fermi level = 0.791 states/eV/atom
1.0
5.7351 0.0000 0.0000
0.0000 5.7351 0.0000
0.0000 0.0000 3.9248
Zr Te Pd N
1 2 1 1
Cartesian
0.0000 0.0000 0.0000 Zr
0.0000 2.8675 0.0000 Te
2.8675 0.0000 0.0000 Te
2.8675 2.8675 1.9624 Pd
0.0000 0.0000 1.9624 N



(18)
ClF3, relaxed, DFT PBE-GGA; uncorrected energy = -1.510 eV/atom; uncorrected formation energy = 0.3556 eV/atom; density of states at the Fermi level = 0.718 states/eV/atom
1.0
1.3794 0.7964 9.0593
-1.3794 0.7964 9.0593
0.0000 -1.5927 9.0593
Cl F
1 3
Cartesian
0.0000 0.0000 0.0000 Cl
0.0000 0.0000 11.9419 F
0.0000 0.0000 13.5890 F
0.0000 0.0000 15.2360 F



(19)
DySbCl, relaxed, DFT PBE-GGA; uncorrected energy = -4.654 eV/atom; uncorrected formation energy = -1.1300 eV/atom; density of states at the Fermi level = 0.369 states/eV/atom
1.0
8.3985 -2.1862 0.0000
8.3985 2.1862 0.0000
-0.2169 0.0000 9.1991
Dy Sb Cl
4 4 4
Cartesian
1.8594 0.0000 0.6538 Dy
1.9534 0.0000 5.8327 Dy
14.6267 0.0000 3.3664 Dy
14.7207 0.0000 8.5453 Dy
4.0375 0.0000 3.4535 Sb
4.1716 0.0000 8.0230 Sb
12.4085 0.0000 1.1761 Sb
12.5426 0.0000 5.7456 Sb
0.5963 0.0000 3.1759 Cl
7.2416 0.0000 1.2055 Cl
9.3385 0.0000 7.9936 Cl
15.9838 0.0000 6.0232 Cl



(20)
Na2LiMn, relaxed, DFT PBE-GGA; formation energy = 59.75 kJ/mol of atoms; uncorrected energy = -2.811 eV/atom; density of states at the Fermi level = 0.959 states/eV/atom
1.0
-4.1555 4.1555 3.0259
4.1555 -4.1555 3.0259
4.1555 4.1555 -3.0259
Na Li Mn
4 2 2
Cartesian
6.2332 1.9672 -0.7565 Na
1.9672 2.0777 0.7565 Na
-2.0777 2.1882 2.2694 Na
2.1882 2.0777 3.7823 Na
0.0000 0.0000 0.0000 Li
0.0000 4.1555 1.5129 Li
4.1555 0.0000 1.5129 Mn
0.0000 0.0000 3.0259 Mn



The total moment results, record by record, are as follows: 0.000, 0.000, 0.710, 0.000, 5.302, 0.000, 0.000, 0.470, 0.000, 4.394, 0.000, 1.557, 0.000, 0.000, 0.000, 0.015, 0.000, 0.795, 0.148, 4.381 μB/f.u..